Entry 1:
A relaxed CePr15Dy4 crystal, computed with GGA-PBE.

extended XYZ file:
```
20
Lattice="5.205 0.000 0.000 0.000 5.205 0.000 0.000 0.000 25.907" Properties=species:S:1:pos:R:3 pbc="T T T"
Ce 0.000 0.000 0.000
Pr 2.602 2.602 0.000
Pr 2.602 2.602 5.217
Pr 2.602 2.602 10.373
Pr 2.602 2.602 15.534
Pr 2.602 2.602 20.690
Pr 2.602 0.000 2.578
Pr 2.602 0.000 7.770
Pr 2.602 0.000 12.953
Pr 2.602 0.000 18.137
Pr 2.602 0.000 23.329
Pr 0.000 2.602 2.578
Pr 0.000 2.602 7.770
Pr 0.000 2.602 12.953
Pr 0.000 2.602 18.137
Pr 0.000 2.602 23.329
Dy 0.000 0.000 5.186
Dy 0.000 0.000 10.363
Dy 0.000 0.000 15.544
Dy 0.000 0.000 20.721
```

Results
Density of states at the Fermi level = 33.96 states/eV/cell
Formation energy from the elements = 28 meV/atom
SG = P4/mmm, No. 123
Calculated total energy = -95.5 eV for the cell shown

Entry 2:
A relaxed Er3Te2Se crystal, computed with GGA-PBE.

extended XYZ file:
```
12
Lattice="-4.766 3.929 3.909 -3.987 -4.500 4.227 1.897 2.536 6.600" Properties=species:S:1:pos:R:3 pbc="T T T"
Er -2.939 2.127 5.509
Er -6.540 -0.733 6.117
Er -3.917 -0.162 9.226
Er -2.787 -2.294 5.913
Er -4.069 4.258 8.822
Er -2.213 0.162 2.019
Te 0.000 0.000 0.000
Te -4.377 -0.286 4.068
Te -5.407 1.859 7.490
Te -1.449 0.105 7.245
Se -0.931 2.158 3.530
Se -1.938 4.306 6.978
```

Results
Density of states at the Fermi level = 5.26 states/eV/cell
E_form (uncorrected) = -8.29 eV/f.u.
SG = C2/m, No. 12
Calculated total energy = -63.5 eV for the cell shown
Excess energy over the best structure of this formula in the dataset = 0.0 meV per atom

Entry 3:
A relaxed KAs2Cl crystal, computed with GGA-PBE.

extended XYZ file:
```
4
Lattice="5.178 0.000 0.000 0.000 5.178 0.000 0.000 0.000 5.852" Properties=species:S:1:pos:R:3 pbc="T T T"
As 0.000 0.000 5.465
As 0.000 0.000 3.313
K 2.589 2.589 4.389
Cl 2.589 2.589 1.463
```

Results
Density of states at the Fermi level = 0.00 states/eV/cell
E_form (uncorrected) = -1.61 eV/f.u.
SG = P4/mmm, No. 123
Calculated total energy = -13.9 eV for the cell shown
Excess energy over the best structure of this formula in the dataset = 299.2 meV per atom

Entry 4:
A relaxed ErAgGe2 crystal, computed with GGA-PBE.

extended XYZ file:
```
4
Lattice="-4.167 -0.971 -0.832 -1.280 -0.786 -4.092 -0.810 -5.427 -1.026" Properties=species:S:1:pos:R:3 pbc="T T T"
Ge -4.741 -5.159 -4.492
Ge -1.517 -2.025 -1.458
Ag -3.129 -3.592 -2.975
Er 0.000 0.000 0.000
```

Results
Density of states at the Fermi level = 1.56 states/eV/cell
Formation energy from the elements = -279 meV/atom
SG = R-3m, No. 166
Calculated total energy = -17.8 eV for the cell shown

Entry 5:
A relaxed Cd2TcSe crystal, computed with GGA-PBE.

extended XYZ file:
```
4
Lattice="-2.502 1.514 -0.939 -1.600 -1.196 2.333 2.221 6.762 4.988" Properties=species:S:1:pos:R:3 pbc="T T T"
Cd 2.130 6.483 4.782
Cd -1.524 1.763 1.880
Se 1.282 3.904 2.879
Tc -0.436 5.074 4.322
```

Results
Density of states at the Fermi level = 3.32 states/eV/cell
E_form (uncorrected) = -0.01 eV/f.u.
SG = P4mm, No. 99
Calculated total energy = -15.7 eV for the cell shown

Entry 6:
A relaxed AgRuC2 crystal, computed with GGA-PBE.

extended XYZ file:
```
8
Lattice="4.857 0.000 0.000 0.000 4.857 0.000 2.429 2.429 4.653" Properties=species:S:1:pos:R:3 pbc="T T T"
Ru 2.429 2.429 0.000
Ru 2.429 4.857 2.326
C 3.362 1.214 1.163
C 1.495 3.643 1.163
C 3.643 3.924 3.490
C 6.071 5.791 3.490
Ag 0.000 0.000 0.000
Ag 4.857 2.429 2.326
```

Results
Density of states at the Fermi level = 3.69 states/eV/cell
Formation energy from the elements = 1130 meV/atom
SG = I-42d, No. 122
Calculated total energy = -52.1 eV for the cell shown
Excess energy over the best structure of this formula in the dataset = 0.0 meV per atom

Entry 7:
A relaxed ZnSiAu2 crystal, computed with GGA-PBE.

extended XYZ file:
```
4
Lattice="-3.067 1.434 3.447 -2.237 -1.953 -1.178 1.951 -2.943 2.961" Properties=species:S:1:pos:R:3 pbc="T T T"
Au 1.816 -2.837 2.797
Au -1.636 -0.682 2.215
Si 0.103 -2.236 1.022
Zn -1.830 -3.095 3.046
```

Results
Density of states at the Fermi level = 1.26 states/eV/cell
E_form (uncorrected) = 0.01 eV/f.u.
SG = Pm, No. 6
Calculated total energy = -13.2 eV for the cell shown

Entry 8:
A relaxed MgCo2Au crystal, computed with GGA-PBE.

extended XYZ file:
```
4
Lattice="2.985 0.000 0.000 0.000 2.989 -0.001 0.000 2.997 6.513" Properties=species:S:1:pos:R:3 pbc="T T T"
Au 1.493 4.490 5.002
Co 0.000 2.990 0.280
Co 1.493 1.498 1.359
Mg 0.000 2.992 3.127
```

Results
Density of states at the Fermi level = 3.21 states/eV/cell
Formation energy from the elements = -31 meV/atom
SG = P4mm, No. 99
Calculated total energy = -19.2 eV for the cell shown

Entry 9:
A relaxed Li3U3NiN8 crystal, computed with GGA-PBE.

extended XYZ file:
```
15
Lattice="6.404 0.000 0.000 -3.202 6.157 0.523 0.000 -3.637 4.771" Properties=species:S:1:pos:R:3 pbc="T T T"
Li 0.000 0.000 0.000
Li -1.601 3.079 0.262
Li 1.601 3.079 0.262
U 3.202 -1.819 2.386
U 1.601 1.260 2.647
U -1.601 1.260 2.647
Ni 0.000 -1.819 2.386
N 0.000 2.390 1.647
N 3.202 0.130 3.647
N 3.202 1.830 1.426
N 0.000 0.690 3.869
N 4.921 -0.747 1.630
N -1.719 3.267 3.665
N 1.483 -0.747 1.630
N 1.719 3.267 3.665
```

Results
Density of states at the Fermi level = 6.78 states/eV/cell
E_form (uncorrected) = -10.78 eV/f.u.
SG = C2/m, No. 12
Calculated total energy = -122.8 eV for the cell shown